## KCaTl2 (SCAN)

Data for a PBEsol-optimized structure of KCaTl2.

The structure in POSCAR format:
```
KCaTl2
1.0
3.728 0.000 0.000
0.000 5.555 0.000
0.000 0.000 5.822
K Ca Tl
1 1 2
direct
0.000 0.000 0.000
0.000 0.500 0.425
0.500 0.000 0.509
0.500 0.500 0.893
```

Summary:
Space group   Pmm2

=====

## KCa2Tl (SCAN)

Data for a PBEsol-optimized structure of KCa2Tl.

The structure in POSCAR format:
```
KCa2Tl
1.0
4.051 0.000 0.000
0.000 4.051 0.000
0.000 0.000 9.553
K Ca Tl
1 2 1
direct
0.000 0.000 0.000
0.000 0.000 0.398
0.500 0.500 0.658
0.500 0.500 0.253
```

Summary:
Space group   P4mm

=====

## KCaW3 (SCAN)

Data for a PBEsol-optimized structure of KCaW3.

The structure in POSCAR format:
```
KCaW3
1.0
4.647 0.000 0.000
0.000 4.647 0.000
0.000 0.000 4.647
K Ca W
1 1 3
direct
0.000 0.000 0.000
0.500 0.500 0.500
0.000 0.000 0.500
0.000 0.500 0.000
0.500 0.000 0.000
```

Summary:
Space group   Pm-3m

=====

## KCaW2 (SCAN)

Data for a PBEsol-optimized structure of KCaW2.

The structure in POSCAR format:
```
KCaW2
1.0
1.656 -2.516 0.000
1.656 2.516 0.000
0.000 0.000 11.227
K Ca W
1 1 2
direct
0.000 0.000 0.000
0.500 0.500 0.332
0.000 0.000 0.562
0.500 0.500 0.729
```

Summary:
Space group   Cmm2
Energy relative to the lowest polymorph listed for this composition   0.000 eV/atom

=====

## KCaW2 (SCAN)

Data for a PBEsol-optimized structure of KCaW2.

The structure in POSCAR format:
```
KCaW2
1.0
-1.590 2.224 5.687
1.590 -2.224 5.687
1.590 2.224 -5.687
K Ca W
1 1 2
direct
0.000 0.000 0.000
0.500 0.500 0.000
0.257 0.757 0.500
0.743 0.243 0.500
```

Summary:
Space group   Immm
Energy relative to the lowest polymorph listed for this composition   0.436 eV/atom

=====

## KCaW2 (SCAN)

Data for a PBEsol-optimized structure of KCaW2.

The structure in POSCAR format:
```
KCaW2
1.0
2.709 -5.651 0.000
2.709 5.651 0.000
-0.809 0.000 2.633
K Ca W
1 1 2
direct
0.000 0.000 0.000
0.500 0.500 0.000
0.000 0.500 0.500
0.500 0.000 0.500
```

Summary:
Space group   C2/m
Energy relative to the lowest polymorph listed for this composition   0.462 eV/atom

=====

## KCa2W (SCAN)

Data for a PBEsol-optimized structure of KCa2W.

The structure in POSCAR format:
```
KCa2W
1.0
2.173 -2.180 0.000
2.173 2.180 0.000
0.000 0.000 12.172
K Ca W
1 2 1
direct
0.000 0.000 0.000
0.000 0.000 0.581
0.500 0.500 0.309
0.500 0.500 0.764
```

Summary:
Space group   Cmm2

=====

## KCa4W (SCAN)

Data for a PBEsol-optimized structure of KCa4W.

The structure in POSCAR format:
```
KCa4W
1.0
0.000 4.777 4.777
4.777 0.000 4.777
4.777 4.777 0.000
K Ca W
1 4 1
direct
0.000 0.000 0.000
0.376 0.376 0.376
0.376 0.376 0.871
0.376 0.871 0.376
0.871 0.376 0.376
0.750 0.750 0.750
```

Summary:
Space group   F-43m

=====

## KCaY3 (SCAN)

Data for a PBEsol-optimized structure of KCaY3.

The structure in POSCAR format:
```
KCaY3
1.0
5.497 0.000 0.000
0.000 5.497 0.000
0.000 0.000 5.497
K Ca Y
1 1 3
direct
0.000 0.000 0.000
0.500 0.500 0.500
0.000 0.000 0.500
0.000 0.500 0.000
0.500 0.000 0.000
```

Summary:
Space group   Pm-3m

=====

## K2CaY (SCAN)

Data for a PBEsol-optimized structure of K2CaY.

The structure in POSCAR format:
```
K2CaY
1.0
1.898 1.096 14.301
-1.898 1.096 14.301
0.000 -2.192 14.301
K Ca Y
2 1 1
direct
0.248 0.248 0.248
0.752 0.752 0.752
0.000 0.000 0.000
0.500 0.500 0.500
```

Summary:
Space group   R-3m
Energy relative to the lowest polymorph listed for this composition   0.000 eV/atom

=====

## K2CaY (SCAN)

Data for a PBEsol-optimized structure of K2CaY.

The structure in POSCAR format:
```
K2CaY
1.0
-2.605 2.605 6.696
2.605 -2.605 6.696
2.605 2.605 -6.696
K Ca Y
2 1 1
direct
0.250 0.750 0.500
0.750 0.250 0.500
0.000 0.000 0.000
0.500 0.500 0.000
```

Summary:
Space group   I4/mmm
Energy relative to the lowest polymorph listed for this composition   0.134 eV/atom

=====

## K2CaY (SCAN)

Data for a PBEsol-optimized structure of K2CaY.

The structure in POSCAR format:
```
K2CaY
1.0
5.184 0.000 0.000
0.000 5.184 0.000
0.000 0.000 6.748
K Ca Y
2 1 1
direct
0.000 0.500 0.000
0.500 0.000 0.000
0.000 0.000 0.500
0.500 0.500 0.500
```

Summary:
Space group   P4/mmm
Energy relative to the lowest polymorph listed for this composition   0.128 eV/atom

=====

Number 1: E_tot -41.01 eV per atom, formation energy -0.3348 eV/atom. Number 2: E_tot -25.18 eV per atom, formation energy -0.1726 eV/atom. Number 3: E_tot -41.79 eV per atom, formation energy 3.6204 eV/atom. Number 4: E_tot -38.35 eV per atom, formation energy 0.9930 eV/atom. Number 5: E_tot -37.91 eV per atom, formation energy 1.4286 eV/atom. Number 6: E_tot -37.89 eV per atom, formation energy 1.4549 eV/atom. Number 7: E_tot -23.23 eV per atom, formation energy 1.1050 eV/atom. Number 8: E_tot -18.28 eV per atom, formation energy 1.1680 eV/atom. Number 9: E_tot -19.35 eV per atom, formation energy 0.9534 eV/atom. Number 10: E_tot -13.18 eV per atom, formation energy 0.3571 eV/atom. Number 11: E_tot -13.05 eV per atom, formation energy 0.4908 eV/atom. Number 12: E_tot -13.06 eV per atom, formation energy 0.4851 eV/atom.